Here is a relaxed structure of CsVF3 from the Alexandria database. Energies are from PBE+U.

extended XYZ file:
```
20
Lattice="6.014 -6.810 0.000 6.014 6.810 0.000 -0.655 0.000 5.557" Properties=species:S:1:pos:R:3 pbc="T T T"
Cs 2.123 1.995 1.157
Cs 1.795 -1.995 3.935
Cs 9.578 1.995 1.622
Cs 9.251 -1.995 4.400
V 5.850 2.550 1.389
V 5.523 0.836 4.167
V 5.850 -0.836 1.389
V 5.523 -2.550 4.167
F 4.413 3.962 1.883
F 4.267 2.249 5.053
F 7.288 3.962 0.895
F 4.696 0.809 2.186
F 6.779 2.249 3.282
F 4.368 -0.809 4.964
F 7.005 0.809 0.592
F 4.595 -2.249 2.275
F 6.678 -0.809 3.371
F 4.086 -3.962 4.662
F 7.106 -2.249 0.504
F 6.960 -3.962 3.673
```

density: 3.51 Mg/m³
total magnetic moment: 12.00 μB per cell
calculated volume: 22.76 A^3/atom
final energy: -5.453 eV/atom